Entry 1:
This record from Alexandria via LeMat-Bulk describes a relaxed SrBeCl2 crystal. The functional is GGA-PBE.

Summary:
The calculated total energy is -50.190 eV per cell. As for the uncorrected formation energy: -0.862 eV/atom.

CIF file:
```
data_SrBeCl2
_space_group_name_H-M_alt 'F m -3 m'
_space_group_IT_number 225
_space_group_name_Hall '-F 4 2 3'
_cell_length_a 7.314
_cell_length_b 7.314
_cell_length_c 7.314
_cell_angle_alpha 90.00
_cell_angle_beta 90.00
_cell_angle_gamma 90.00
loop_
_atom_site_label
_atom_site_fract_x
_atom_site_fract_y
_atom_site_fract_z
Sr1 0.000 0.000 0.000
Be1 0.000 0.000 0.500
Cl1 0.250 0.250 0.250
```

***

Entry 2:
This record from Alexandria via LeMat-Bulk describes a relaxed SrBeCl2 crystal. The functional is GGA-PBE.

Summary:
The calculated total energy is -26.342 eV per cell. As for the uncorrected formation energy: -1.017 eV/atom.

CIF file:
```
data_SrBeCl2
_space_group_name_H-M_alt 'C 1 m 1'
_space_group_IT_number 8
_cell_length_a 17.700
_cell_length_b 3.520
_cell_length_c 4.151
_cell_angle_alpha 90.00
_cell_angle_beta 90.10
_cell_angle_gamma 90.00
loop_
_space_group_symop_operation_xyz
'x,y,z'
'x,-y,z'
'x+1/2,y+1/2,z'
'x+1/2,-y+1/2,z'
loop_
_atom_site_label
_atom_site_fract_x
_atom_site_fract_y
_atom_site_fract_z
Sr1 0.000 0.000 0.000
Be1 0.146 0.500 0.973
Cl1 0.214 0.000 0.960
Cl2 0.430 0.000 0.499
```

***

| no. | polymorph energy (0 for the lowest one) (meV per atom) | magnetic moment (μB/atom) |
| --- | --- | --- |
| 1 | 195 | 0.0000 |
| 2 | 39 | 0.0000 |